# 1
An optimized crystal structure of MnOsRh2, computed with GGA-PBE.

The structure in POSCAR format:
```
MnOsRh2
1.0
-1.8955 1.8955 3.8325
1.8955 -1.8955 3.8325
1.8955 1.8955 -3.8325
Mn Os Rh
1 1 2
Cartesian
0.0000 0.0000 0.0000
0.0000 0.0000 3.8325
1.8955 0.0000 1.9163
0.0000 1.8955 1.9163
```

Values from the calculation:
* Fermi-level density of states: 1.139 states/eV/atom
* space group: I4/mmm
* crystal system: tetragonal
* polymorph energy (0 for the lowest one): 0 meV/atom

# 2
An optimized crystal structure of Ac2Pr3Te8, computed with GGA-PBE.

The structure in POSCAR format:
```
Ac2Pr3Te8
1.0
8.0724 -4.6316 0.0000
8.0724 4.6316 0.0000
-2.5724 0.0000 7.4559
Ac Pr Te
2 3 8
Cartesian
3.4870 0.0000 1.2146
10.0854 0.0000 6.2413
6.7862 2.4104 3.7280
8.0724 0.0000 0.0000
6.7862 -2.4104 3.7280
0.8988 0.0000 3.2537
5.9278 2.2245 0.6624
7.6446 2.2245 6.7935
4.6963 0.0000 4.3425
8.8761 0.0000 3.1134
5.9278 -2.2245 0.6624
7.6446 -2.2245 6.7935
12.6737 0.0000 4.2022
```

Values from the calculation:
* Fermi-level density of states: 0.561 states/eV/atom
* uncorrected formation energy: -1344 meV/atom
* space group: C2/m
* crystal system: monoclinic

# 3
An optimized crystal structure of Th2PaTc, computed with GGA-PBE.

The structure in POSCAR format:
```
Th2PaTc
1.0
7.1081 0.0000 0.0000
0.0000 9.9217 0.0000
0.0000 0.0000 6.2754
Th Pa Tc
8 4 4
Cartesian
1.2338 0.5984 1.0058
1.2338 4.3625 1.0058
2.3203 5.5592 4.1435
2.3203 9.3233 4.1435
4.7878 0.5984 2.1318
4.7878 4.3625 2.1318
5.8744 5.5592 5.2695
5.8744 9.3233 5.2695
0.3224 2.4804 4.2742
3.2316 7.4413 1.1365
3.8765 2.4804 5.1388
6.7857 7.4413 2.0012
1.0922 7.4413 6.1173
2.4619 2.4804 2.9797
4.6462 7.4413 3.2957
6.0160 2.4804 0.1580
```

Values from the calculation:
* Fermi-level density of states: 1.494 states/eV/atom
* space group: Pnma
* crystal system: orthorhombic
* polymorph energy (0 for the lowest one): 0 meV/atom

Copy entry 2 word for word.
An optimized crystal structure of Ac2Pr3Te8, computed with GGA-PBE.

The structure in POSCAR format:
```
Ac2Pr3Te8
1.0
8.0724 -4.6316 0.0000
8.0724 4.6316 0.0000
-2.5724 0.0000 7.4559
Ac Pr Te
2 3 8
Cartesian
3.4870 0.0000 1.2146
10.0854 0.0000 6.2413
6.7862 2.4104 3.7280
8.0724 0.0000 0.0000
6.7862 -2.4104 3.7280
0.8988 0.0000 3.2537
5.9278 2.2245 0.6624
7.6446 2.2245 6.7935
4.6963 0.0000 4.3425
8.8761 0.0000 3.1134
5.9278 -2.2245 0.6624
7.6446 -2.2245 6.7935
12.6737 0.0000 4.2022
```

Values from the calculation:
* Fermi-level density of states: 0.561 states/eV/atom
* uncorrected formation energy: -1344 meV/atom
* space group: C2/m
* crystal system: monoclinic